(1)
! YTeAsBr2 | Alexandria | PBE-GGA | relaxed; values from VASP
&SYSTEM
  ibrav = 0, nat = 5, ntyp = 4
/
ATOMIC_SPECIES
Y 88.91 Y.upf
As 74.92 As.upf
Te 127.60 Te.upf
Br 79.90 Br.upf
CELL_PARAMETERS angstrom
-3.937 -1.284 3.534
2.252 -4.902 0.729
3.111 2.056 4.213
ATOMIC_POSITIONS angstrom
Y 0.713 -2.065 4.238
As 1.555 1.028 2.106
Te 0.000 0.000 0.000
Br 1.126 -2.451 0.364
Br -1.968 -0.642 1.767
! final energy = -3.336 eV per atom
! energy above the lowest structure with this stoichiometry = 3.33 eV per formula unit
! ΔE_f (raw) = 17.8 kJ per mole of atoms

(2)
! InTe2As | Alexandria | PBE-GGA | relaxed; values from VASP
&SYSTEM
  ibrav = 0, nat = 4, ntyp = 3
/
ATOMIC_SPECIES
As 74.92 As.upf
Te 127.60 Te.upf
In 114.82 In.upf
CELL_PARAMETERS angstrom
4.359 0.000 0.000
0.000 4.360 0.000
0.000 0.000 6.331
ATOMIC_POSITIONS angstrom
As 0.000 0.000 2.125
Te 0.000 0.000 5.818
Te 2.179 2.180 2.411
In 2.179 2.180 5.475
! final energy = -3.484 eV per atom
! energy above the lowest structure with this stoichiometry = 0.12 eV per formula unit
! ΔE_f (raw) = -6.4 kJ per mole of atoms

(3)
! Sr2Se | Alexandria | PBE-GGA | relaxed; values from VASP
&SYSTEM
  ibrav = 0, nat = 3, ntyp = 2
/
ATOMIC_SPECIES
Se 78.96 Se.upf
Sr 87.62 Sr.upf
CELL_PARAMETERS angstrom
4.364 0.000 0.000
-2.182 3.779 0.000
0.000 0.000 7.346
ATOMIC_POSITIONS angstrom
Se 4.364 0.000 0.000
Sr 2.182 1.260 1.874
Sr 0.000 2.520 5.473
! final energy = -3.563 eV per atom
! ΔE_f (raw) = -123.5 kJ per mole of atoms

(4)
! Er5MgHg3 | Alexandria | PBE-GGA | relaxed; values from VASP
&SYSTEM
  ibrav = 0, nat = 18, ntyp = 3
/
ATOMIC_SPECIES
Er 167.26 Er.upf
Mg 24.30 Mg.upf
Hg 200.59 Hg.upf
CELL_PARAMETERS angstrom
-5.176 -0.676 4.077
5.300 -4.066 6.055
-1.018 8.955 0.193
ATOMIC_POSITIONS angstrom
Er 3.194 0.274 4.101
Er -1.500 4.277 4.185
Er 1.088 4.615 2.147
Er 0.606 -0.064 6.139
Er -0.936 2.858 7.357
Er 1.100 -1.780 9.172
Er -2.230 -1.775 4.946
Er 0.041 1.356 2.968
Er -1.994 5.993 1.152
Er 2.353 -2.967 5.186
Mg 0.000 0.000 0.000
Mg -2.588 -0.338 2.038
Hg -2.365 1.226 5.272
Hg -4.539 5.274 3.182
Hg -0.462 -3.132 6.966
Hg 1.470 2.987 5.052
Hg 3.645 -1.061 7.142
Hg 0.585 -1.610 3.166
! final energy = -3.134 eV per atom
! E_form = -0.32 eV/atom

(5)
! Li2MgGe | Alexandria | PBE-GGA | relaxed; values from VASP
&SYSTEM
  ibrav = 0, nat = 4, ntyp = 3
/
ATOMIC_SPECIES
Li 6.94 Li.upf
Mg 24.30 Mg.upf
Ge 72.64 Ge.upf
CELL_PARAMETERS angstrom
-2.859 -0.339 0.996
-2.041 -1.486 -1.705
0.769 -8.669 3.915
ATOMIC_POSITIONS angstrom
Li 0.234 -6.871 2.989
Li -1.096 -2.411 0.692
Mg -2.069 -5.235 1.597
Ge -3.264 -1.223 -0.469
! final energy = -2.612 eV per atom
! E_form = -0.10 eV/atom

(6)
! La4Dy15Y | Alexandria | PBE-GGA | relaxed; values from VASP
&SYSTEM
  ibrav = 0, nat = 20, ntyp = 3
/
ATOMIC_SPECIES
La 138.91 La.upf
Dy 162.50 Dy.upf
Y 88.91 Y.upf
CELL_PARAMETERS angstrom
-0.610 4.271 -2.690
-4.414 0.863 2.370
12.165 13.020 17.917
ATOMIC_POSITIONS angstrom
La 2.427 2.598 3.575
La 4.860 5.201 7.158
La 7.305 7.819 10.760
La 9.737 10.422 14.342
Dy -2.512 2.567 -0.160
Dy -0.098 5.151 3.396
Dy 2.349 7.770 7.001
Dy 4.791 10.384 10.597
Dy 7.238 13.003 14.202
Dy 0.888 3.412 0.412
Dy 3.333 6.029 4.014
Dy 5.777 8.646 7.614
Dy 8.222 11.262 11.214
Dy 10.667 13.879 14.816
Dy -1.014 1.708 2.942
Dy 1.431 4.325 6.544
Dy 3.875 6.941 10.144
Dy 6.319 9.558 13.744
Dy 8.765 12.175 17.346
Y 0.000 0.000 0.000
! final energy = -4.732 eV per atom
! E_form = 0.03 eV/atom

Number 1: spin magnetization 0.0 μB per formula unit. Number 2: spin magnetization 0.0 μB per formula unit. Number 3: spin magnetization 0.0 μB per formula unit. Number 4: spin magnetization 0.0 μB per formula unit. Number 5: spin magnetization 0.0 μB per formula unit. Number 6: spin magnetization 0.0 μB per formula unit.